1.
This record from Alexandria describes a relaxed structure of Mg2IrAu. The functional is PBE.

a b c (Å): 2.9392 4.1448 5.5696
angles (deg): 90.00 90.00 90.00
Last column: nearest neighbours and their distance in Å.
Fractional positions:
Au 0.0000 0.0000 0.4783  6 Mg 2.70-2.86, 2 Au 2.94
Ir 0.5000 0.5000 0.7840  6 Mg 2.73-2.84, 2 Ir 2.94
Mg 0.0000 0.0000 0.9639  2 Au 2.70-2.86, 4 Ir 2.73, 2 Mg 2.94
Mg 0.5000 0.5000 0.2739  2 Ir 2.73-2.84, 4 Au 2.78, 2 Mg 2.94

Results
* E_form: -26 kJ/mol of atoms
* V: 16.963 Å³/atom

---

2.
This record from Alexandria describes a relaxed structure of Ac7TlS5. The functional is PBE.

a b c (Å): 4.3582 7.4899 26.1630
angles (deg): 90.00 90.00 106.91
Last column: nearest neighbours and their distance in Å.
Fractional positions:
Ac 0.8230 0.6461 0.8284  3 S 3.03-3.04
Ac 0.1776 0.3552 0.1716  3 S 3.03-3.04
Ac 0.0940 0.1879 0.6072  5 S 3.03-3.11
Ac 0.4783 0.9566 0.2501  2 S 3.04, 2 Tl 3.38
Ac 0.9065 0.8130 0.3927  5 S 3.03-3.11
Ac 0.8232 0.6463 0.6715  3 S 3.03-3.04
Ac 0.6350 0.2701 0.4645  6 S 3.02-3.06
Ac 0.6352 0.2703 0.0355  6 S 3.02-3.06
Ac 0.3654 0.7308 0.5354  6 S 3.02-3.06
Ac 0.0939 0.1878 0.8928  5 S 3.03-3.11
Ac 0.9067 0.8133 0.1073  5 S 3.03-3.11
Ac 0.3655 0.7309 0.9645  6 S 3.02-3.06
Ac 0.5224 0.0447 0.7499  2 S 3.05, 2 Tl 3.39
Ac 0.1774 0.3549 0.3285  3 S 3.03-3.04
S 0.5417 0.0834 0.1390  6 Ac 3.02-3.04
S 0.2725 0.5450 0.0683  6 Ac 3.02-3.08
S 0.7281 0.4562 0.9318  6 Ac 3.02-3.08
S 0.4589 0.9178 0.8610  6 Ac 3.02-3.05
S 0.0002 0.0004 0.5000  6 Ac 3.06-3.11
S 0.5416 0.0831 0.3611  6 Ac 3.02-3.04
S 0.7281 0.4562 0.5682  6 Ac 3.02-3.08
S 0.4590 0.9180 0.6388  6 Ac 3.02-3.05
S 0.0003 0.0006 0.0001  6 Ac 3.06-3.11
S 0.2723 0.5447 0.4318  6 Ac 3.02-3.08
Tl 0.7976 0.5952 0.2501  6 Ac 3.38-3.45
Tl 0.2031 0.4062 0.7499  6 Ac 3.39-3.45

Results
* V: 31.426 Å³/atom
* ΔE_f (raw): -20.56 eV/f.u.

---

3.
This record from Alexandria describes a relaxed structure of CoSiBr3. The functional is PBE.

a b c (Å): 5.2171 5.2171 5.2171
angles (deg): 90.00 90.00 90.00
Last column: nearest neighbours and their distance in Å.
Fractional positions:
Br 0.0000 0.0000 0.5000  2 Si 2.61
Br 0.0000 0.5000 0.0000  2 Si 2.61
Br 0.5000 0.0000 0.0000  2 Si 2.61
Co 0.5000 0.5000 0.5000  12 Br 3.69
Si 0.0000 0.0000 0.0000  6 Br 2.61

Results
* V: 28.400 Å³/atom
* ΔE_f (raw): 2.64 eV/f.u.